The following is a DFT calculation (GGA-PBE) of an optimized crystal structure of Zr2Be9V.

Calculated values
* crystal system: trigonal
* energy of formation from the pure elements: -0.08 eV per atom

Unit cell a=4.591 b=4.591 c=7.705 alpha=72.67 beta=72.67 gamma=60.00
Site moments in Bohr magnetons follow the coordinates.
Fractional positions:
Be  0.666  0.666  0.001  0.00
Be  0.423  0.924  0.229  -0.01
V  0.000  0.000  0.000  0.71
Be  0.577  0.076  0.771  -0.01
Be  0.577  0.577  0.771  -0.01
Zr  0.138  0.138  0.586  -0.01
Be  0.500  0.500  0.500  0.00
Be  0.924  0.423  0.229  -0.01
Zr  0.862  0.862  0.414  -0.01
Be  0.076  0.577  0.771  -0.01
Be  0.334  0.334  0.999  0.00
Be  0.423  0.423  0.229  -0.01

***

The following is a DFT calculation (GGA-PBE) of an optimized crystal structure of LiCaAs2Pd5.

Calculated values
* crystal system: tetragonal
* energy of formation from the pure elements: -0.54 eV per atom

Unit cell a=4.262 b=4.262 c=8.889 alpha=90.00 beta=90.00 gamma=90.00
Fractional positions:
As  0.500  0.500  0.864
As  0.500  0.500  0.136
Pd  0.500  0.000  0.732
Ca  0.000  0.000  0.500
Pd  0.000  0.500  0.732
Pd  0.000  0.500  0.268
Pd  0.500  0.500  0.500
Li  0.000  0.000  0.000
Pd  0.500  0.000  0.268

***

The following is a DFT calculation (GGA-PBE) of an optimized crystal structure of PPbCl2.

Calculated values
* crystal system: tetragonal
* raw formation energy: 0.075 eV per atom

Unit cell a=3.471 b=3.471 c=10.087 alpha=90.00 beta=90.00 gamma=90.00
Site moments in Bohr magnetons follow the coordinates.
Fractional positions:
P  0.500  0.500  0.250  0.51
Pb  0.500  0.500  0.750  0.00
Cl  0.000  0.000  0.920  0.01
Cl  0.000  0.000  0.580  0.01

***

Number 1: calculated volume 132 Å³/cell. Number 2: calculated volume 161 Å³/cell. Number 3: calculated volume 122 Å³/cell.